# 1
First-principles (PBE) data for a relaxed AlCd5Au6 crystal, as listed in the Alexandria database.

Computed properties:
As for the total magnetic moment: 0.00 Bohr magnetons per cell. The theoretical density is 12.9 g/cm3. The total energy is -2.5439 eV/atom. For the energy of formation from the pure elements, the calculation gives -212 meV/atom.

abc: 14.5540 7.0849 4.6679
angles: 90.00 108.35 90.00
Space group C2/m (No. 12)
One atom of each set of equivalent atoms:
Al1 0.0000 0.0000 0.0000
Cd1 0.0000 0.5000 0.0000
Cd2 0.1582 0.5000 0.6605
Cd3 0.1892 0.0000 0.6943
Au1 0.0000 0.2101 0.5000
Au2 0.1530 0.2266 0.1584



# 2
First-principles (PBE) data for a relaxed AlCd3Au12 crystal, as listed in the Alexandria database.

Computed properties:
As for the total magnetic moment: 0.00 Bohr magnetons per cell. The theoretical density is 15.5 g/cm3. The total energy is -2.9988 eV/atom. For the energy of formation from the pure elements, the calculation gives -135 meV/atom.

abc: 4.1508 4.1508 16.9964
angles: 90.00 90.00 90.00
Space group P4/mmm (No. 123)
One atom of each set of equivalent atoms:
Al1 0.0000 0.0000 0.0000
Cd1 0.0000 0.0000 0.2461
Cd2 0.0000 0.0000 0.5000
Au1 0.0000 0.5000 0.1171
Au2 0.0000 0.5000 0.3726
Au3 0.5000 0.5000 0.0000
Au4 0.5000 0.5000 0.2447
Au5 0.5000 0.5000 0.5000



# 3
First-principles (PBE) data for a relaxed Al2CdAu crystal, as listed in the Alexandria database.

Computed properties:
As for the total magnetic moment: 0.00 Bohr magnetons per cell. The theoretical density is 8.2 g/cm3. The total energy is -2.9958 eV/atom. For the energy of formation from the pure elements, the calculation gives -76 meV/atom.

abc: 2.9522 4.0072 6.2163
angles: 90.00 90.00 90.00
Space group Pmm2 (No. 25)
One atom of each set of equivalent atoms:
Al1 0.0000 0.0000 0.0000
Al2 0.5000 0.5000 0.2435
Cd1 0.5000 0.5000 0.7379
Au1 0.0000 0.0000 0.4396



# 4
First-principles (PBE) data for a relaxed AlCd2Au crystal, as listed in the Alexandria database.

Computed properties:
As for the total magnetic moment: 0.00 Bohr magnetons per cell. The theoretical density is 9.4 g/cm3. The total energy is -2.2420 eV/atom. For the energy of formation from the pure elements, the calculation gives -29 meV/atom.

abc: 3.7407 3.7407 5.6615
angles: 90.00 90.00 90.00
Space group P4/mmm (No. 123)
One atom of each set of equivalent atoms:
Al1 0.0000 0.0000 0.0000
Cd1 0.5000 0.5000 0.2515
Au1 0.0000 0.0000 0.5000